Record 1
This record from the Alexandria database describes a crystal of Li2SnF6 relaxed with PBEsol. The functional is meta-GGA SCAN.

```
Li2SnF6
1.0
4.5519 0.0000 0.0000
0.0000 4.9489 0.0000
0.0000 -2.4744 4.2858
Li Sn F
2 1 6
Cartesian
2.2760 0.0000 2.8572
2.2760 2.4744 1.4286
0.0000 0.0000 0.0000
3.3961 3.3260 0.0000
1.1558 1.6229 0.0000
3.3961 0.8115 1.4055
1.1558 1.6630 2.8804
3.3961 -1.6630 2.8804
1.1558 -0.8115 1.4055
```

Values from the calculation:
N(E_F) = 0.000 states/eV/cell
energy relative to the elements, uncorrected = -2.916 eV/atom

Record 2
This record from the Alexandria database describes a crystal of Na3GaS3 relaxed with PBEsol. The functional is meta-GGA SCAN.

```
Na3GaS3
1.0
-3.0540 -5.2883 -3.2010
5.8502 -3.9533 0.9495
-4.3985 -4.1645 11.0765
Na Ga S
12 4 12
Cartesian
-4.7502 -8.9490 4.9904
-3.2874 -6.8326 7.5240
3.1479 -4.4570 3.8346
1.6851 -6.5734 1.3010
0.9907 -7.0366 10.6430
-0.3552 -7.8104 5.7797
-2.5930 -6.3694 -1.8180
-1.2470 -5.5957 3.0453
1.4913 -5.3191 7.3367
-0.8522 -9.5216 9.0898
-3.0936 -8.0869 1.4883
-0.7501 -3.8844 -0.2648
2.6242 -3.4108 1.0108
-4.2264 -9.9953 7.8142
-3.1551 -4.6504 5.3878
1.5529 -8.7556 3.4372
-0.5551 -8.2473 2.9017
-5.6324 -8.2714 8.0145
4.0301 -5.1347 0.8105
-1.0472 -5.1587 5.9233
-2.2165 -6.5748 10.0678
-4.1795 -6.3643 4.1672
0.6142 -6.8312 -1.2428
2.5772 -7.0418 4.6578
-2.3683 -9.4801 6.6773
1.4485 -8.0599 8.1152
0.7660 -3.9259 2.1477
-3.0508 -5.3461 0.7098
```

Values from the calculation:
N(E_F) = 0.000 states/eV/cell
energy relative to the elements, uncorrected = -1.208 eV/atom

Record 3
This record from the Alexandria database describes a crystal of Sr2TePt relaxed with PBEsol. The functional is meta-GGA SCAN.

```
Sr2TePt
1.0
-1.1215 3.7619 -2.0984
-3.7982 0.1593 2.3154
4.9946 1.0008 3.8458
Pt Sr Te
1 2 1
Cartesian
-0.6317 1.5603 3.1349
0.0000 0.0000 0.0000
0.7066 3.3616 0.9279
-2.4598 1.9606 0.1085
```

Values from the calculation:
N(E_F) = 0.020 states/eV/cell
energy relative to the elements, uncorrected = -1.006 eV/atom

Record 4
This record from the Alexandria database describes a crystal of Nd3Cd relaxed with PBEsol. The functional is meta-GGA SCAN.

```
Nd3Cd
1.0
4.8079 0.0000 0.0000
0.0000 4.8079 0.0000
-2.4039 -2.4039 4.9706
Nd Cd
3 1
Cartesian
0.0000 2.4039 2.4853
2.4039 0.0000 2.4853
2.4039 2.4039 0.0000
0.0000 0.0000 0.0000
```

Values from the calculation:
polymorph energy (0 for the lowest one) = 5.1 meV/atom
N(E_F) = 3.762 states/eV/cell
ΔE_f = -0.69 eV per formula unit

Record 5
This record from the Alexandria database describes a crystal of KBaV2CuClO7 relaxed with PBEsol. The functional is meta-GGA SCAN.

```
KBaV2CuClO7
1.0
5.4615 0.0000 0.0000
0.0000 8.8409 0.0026
0.0000 -0.1501 8.8396
K Ba V Cu Cl O
2 2 4 2 2 14
Cartesian
0.9037 2.8452 2.8948
0.9037 5.8455 5.9474
0.8879 1.4251 7.2913
0.8879 7.2656 1.5509
3.8149 1.1567 1.1769
3.8149 7.5340 7.6653
3.8235 3.1465 5.5994
3.8235 5.5442 3.2428
4.2520 -0.0751 4.4198
4.2520 4.4204 0.0013
1.6991 -0.0751 4.4198
1.6991 4.4204 0.0013
2.1481 1.0405 1.0586
2.1481 7.6502 7.7836
2.1605 3.1180 5.6275
2.1605 5.5727 3.2148
4.4453 0.7160 2.6799
4.4453 7.9748 6.1623
4.5018 3.4905 7.1172
4.5018 5.2002 1.7250
4.5018 7.0558 3.6130
4.5018 1.6349 5.2292
4.4453 2.6671 0.7622
4.4453 6.0236 8.0801
4.5840 0.0000 0.0000
4.4539 4.3454 4.4211
```

Values from the calculation:
energy relative to the elements, uncorrected = -2.435 eV/atom

Record 6
This record from the Alexandria database describes a crystal of AsOs2C relaxed with PBEsol. The functional is meta-GGA SCAN.

```
AsOs2C
1.0
-1.1648 -3.9009 -0.3932
-0.6900 -2.2737 3.3291
-3.8179 -1.1018 0.9687
As Os C
1 2 1
Cartesian
-2.8363 -3.6382 1.9523
-1.4182 -1.8191 0.9762
-4.2545 -5.4572 2.9285
0.0000 0.0000 0.0000
```

Values from the calculation:
N(E_F) = 2.081 states/eV/cell
ΔE_f = 5.01 eV per formula unit

Record 7
This record from the Alexandria database describes a crystal of VO2F relaxed with PBEsol. The functional is meta-GGA SCAN.

```
VO2F
1.0
-2.4766 1.7887 -1.8136
-1.0470 -3.5328 -2.0545
-9.0190 -2.8531 9.5021
V O F
4 8 4
Cartesian
-1.5183 -0.1805 0.1555
-6.2157 -1.9813 1.3142
-6.3269 -2.6160 4.3198
-11.0242 -4.4167 5.4786
-2.3870 1.1641 -0.8120
-1.9257 -1.5133 -0.6027
-6.5958 -3.3054 0.5273
-5.1290 -2.5902 2.7096
-7.4135 -2.0071 2.9245
-5.9468 -1.2919 5.1068
-10.6168 -3.0840 6.2367
-10.1556 -5.7614 6.4460
-2.5331 -0.1621 1.5593
-4.9790 -1.2506 0.3461
-7.5636 -3.3467 5.2880
-10.0095 -4.4352 4.0747
```

Values from the calculation:
N(E_F) = 0.000 states/eV/cell
energy relative to the elements, uncorrected = -2.604 eV/atom

Record 8
This record from the Alexandria database describes a crystal of LiRhAu2 relaxed with PBEsol. The functional is meta-GGA SCAN.

```
LiRhAu2
1.0
-1.1887 -2.2966 0.8687
1.3329 -1.4142 -1.9147
6.0958 -1.2115 5.1385
Au Li Rh
2 1 1
Cartesian
6.0289 -1.1982 5.0821
1.7146 -2.1818 0.8616
3.0847 -0.6131 2.6003
4.5554 -2.7464 3.2562
```

Values from the calculation:
N(E_F) = 2.372 states/eV/cell
ΔE_f = -0.35 eV per formula unit

Record 9
This record from the Alexandria database describes a crystal of ZnCdRh2 relaxed with PBEsol. The functional is meta-GGA SCAN.

```
ZnCdRh2
1.0
-2.3469 1.5556 0.7417
-2.6182 -3.5008 -0.9420
2.8765 -0.4737 4.3800
Cd Rh Zn
1 2 1
Cartesian
-0.9732 0.0428 2.5460
-2.0978 -2.3849 4.0792
-1.1158 -2.4601 1.6292
-2.4728 -1.0082 0.0050
```

Values from the calculation:
N(E_F) = 2.798 states/eV/cell
ΔE_f = -0.30 eV per formula unit

Record 10
This record from the Alexandria database describes a crystal of CoTcMo relaxed with PBEsol. The functional is meta-GGA SCAN.

```
CoTcMo
1.0
2.5683 0.0000 0.0000
0.0000 3.8074 0.0000
-1.2842 -1.9037 4.0411
Mo Co Tc
1 1 1
Cartesian
1.2841 1.9037 1.3103
1.2842 1.9037 4.0080
0.0000 0.0000 2.7638
```

Values from the calculation:
polymorph energy (0 for the lowest one) = 38.9 meV/atom
N(E_F) = 2.302 states/eV/cell
ΔE_f = 0.60 eV per formula unit

Record 11
This record from the Alexandria database describes a crystal of Ir2PtAu relaxed with PBEsol. The functional is meta-GGA SCAN.

```
Ir2PtAu
1.0
-2.2246 -0.6482 1.5230
0.0017 -2.3010 1.5473
2.6303 3.6595 7.9237
Au Ir Pt
1 2 1
Cartesian
0.0000 0.0000 0.0000
0.1289 0.2149 2.8039
0.2784 0.4955 8.1901
0.2037 0.3552 5.4970
```

Values from the calculation:
polymorph energy (0 for the lowest one) = 28.3 meV/atom
N(E_F) = 3.484 states/eV/cell
ΔE_f = 1.03 eV per formula unit

Record 12
This record from the Alexandria database describes a crystal of CuIr relaxed with PBEsol. The functional is meta-GGA SCAN.

```
CuIr
1.0
2.6598 0.0000 0.0000
-1.3299 4.8287 -0.0037
0.0000 -1.7271 6.0483
Cu Ir
3 3
Cartesian
0.0000 0.0034 0.0842
0.0000 3.2649 1.6624
1.3299 1.0305 1.9664
0.0000 -0.5327 3.6814
0.0000 2.0806 4.0249
1.3299 0.5268 5.7088
```

Values from the calculation:
N(E_F) = 4.252 states/eV/cell
ΔE_f = 0.14 eV per formula unit

Number 8 is which compound?
LiRhAu2